A relaxed RbCaYO3 crystal. Source: Alexandria via LeMat-Bulk, functional PBE.

Calculated values
Formation energy without anion corrections = -59.05 kcal/mol of atoms
Space-group type = P2_1/m, No. 11
Crystal system = monoclinic
VASP energy = -6.612 eV per atom

Cell: 3.4962 7.7183 10.0866 Å, 93.69 90.00 90.00°
Closest atoms and distances in Å follow each position.
Atoms (fractional coordinates):
Rb 0.7500 0.8707 0.7936  4 O 2.87-3.01
Rb 0.2500 0.1293 0.2064  4 O 2.87-3.01
Ca 0.2500 0.1575 0.5651  4 O 2.20-2.32
Ca 0.7500 0.8425 0.4349  4 O 2.20-2.32
Y 0.2500 0.6008 0.1259  5 O 2.16-2.37
Y 0.7500 0.3992 0.8741  5 O 2.16-2.37
O 0.2500 0.8619 0.5677  3 Ca 2.20-2.28
O 0.7500 0.7520 0.2112  2 Y 2.24, 1 Ca 2.32
O 0.7500 0.3966 0.0880  3 Y 2.16-2.37
O 0.7500 0.1381 0.4323  3 Ca 2.20-2.28
O 0.2500 0.6034 0.9120  3 Y 2.16-2.37
O 0.2500 0.2480 0.7888  2 Y 2.24, 1 Ca 2.32